# 1
AlZn2GeAs PBE-GGA optimized geometry; E_tot = -2.544 eV per atom; formation enthalpy at 0 K = 568 meV/atom; N(E_F) = 0.613 states/eV per atom; total magnetization = 0.00 μB per cell
1.0
4.7777 0.0000 0.0000
0.0000 4.7777 0.0000
0.0000 0.0000 5.0413
Al Zn Ge As
1 2 1 1
Cartesian
0.0000 0.0000 0.0000
0.0000 2.3889 2.5206
2.3889 0.0000 2.5206
2.3889 2.3889 0.0000
0.0000 0.0000 2.5206

# 2
Al3AsH PBE-GGA optimized geometry; E_tot = -3.601 eV per atom; N(E_F) = 0.405 states/eV per atom; total magnetization = 0.00 μB per cell; energy above the lowest structure with this stoichiometry = 0 meV/atom
1.0
4.1848 0.0000 0.0000
0.0000 4.1848 0.0000
0.0000 0.0000 4.1848
Al As H
3 1 1
Cartesian
0.0000 0.0000 2.0924
0.0000 2.0924 0.0000
2.0924 0.0000 0.0000
2.0924 2.0924 2.0924
0.0000 0.0000 0.0000

# 3
AlAsH3 PBE-GGA optimized geometry; E_tot = -3.061 eV per atom; N(E_F) = 0.231 states/eV per atom; total magnetization = 0.00 μB per cell; energy above the lowest structure with this stoichiometry = 38 meV/atom
1.0
3.7840 0.0000 0.0000
0.0000 3.7840 0.0000
0.0000 0.0000 3.7840
Al As H
1 1 3
Cartesian
0.0000 0.0000 0.0000
1.8920 1.8920 1.8920
0.0000 1.8920 1.8920
1.8920 0.0000 1.8920
1.8920 1.8920 0.0000

# 4
Al2AsH PBE-GGA optimized geometry; E_tot = -3.810 eV per atom; N(E_F) = 0.051 states/eV per atom; total magnetization = 0.00 μB per cell; energy above the lowest structure with this stoichiometry = 0 meV/atom
1.0
-2.2433 2.2433 6.5818
2.2433 -2.2433 6.5818
2.2433 2.2433 -6.5818
Al As H
4 2 2
Cartesian
3.3650 0.7106 -1.6455
0.7106 1.1217 1.6455
-1.1217 1.5327 4.9364
1.5327 1.1217 8.2273
2.2433 0.0000 3.2909
0.0000 0.0000 6.5818
0.0000 0.0000 0.0000
0.0000 2.2433 3.2909

Copy entry 4 word for word.
Al2AsH PBE-GGA optimized geometry; E_tot = -3.810 eV per atom; N(E_F) = 0.051 states/eV per atom; total magnetization = 0.00 μB per cell; energy above the lowest structure with this stoichiometry = 0 meV/atom
1.0
-2.2433 2.2433 6.5818
2.2433 -2.2433 6.5818
2.2433 2.2433 -6.5818
Al As H
4 2 2
Cartesian
3.3650 0.7106 -1.6455
0.7106 1.1217 1.6455
-1.1217 1.5327 4.9364
1.5327 1.1217 8.2273
2.2433 0.0000 3.2909
0.0000 0.0000 6.5818
0.0000 0.0000 0.0000
0.0000 2.2433 3.2909

The highest N(E_F) belongs to which entry?
AlZn2GeAs

Look up the N(E_F) of the first one.
0.613 states/eV per atom